Entry 1:
DFT (GGA-PBEsol) results for a geometry-optimized IrW2Se structure.

Geometry as CIF:
```
data_IrW2Se
_space_group_name_H-M_alt 'P 1 2/m 1'
_space_group_IT_number 10
_cell_length_a 2.811
_cell_length_b 4.108
_cell_length_c 5.497
_cell_angle_alpha 90.00
_cell_angle_beta 104.52
_cell_angle_gamma 90.00
loop_
_space_group_symop_operation_xyz
'x,y,z'
'-x,-y,-z'
'-x,y,-z'
'x,-y,z'
loop_
_atom_site_label
_atom_site_type_symbol
_atom_site_fract_x
_atom_site_fract_y
_atom_site_fract_z
Ir1 Ir 0.000 0.000 0.000
W1 W 0.347 0.500 0.751
Se1 Se 0.000 0.000 0.500
```

Output
- Calculated volume: 61.4 Å³ per cell
- ΔE to the lowest computed polymorph: 7.4 kJ/mol of atoms

=====

Entry 2:
DFT (GGA-PBEsol) results for a geometry-optimized IrW2Se structure.

Geometry as CIF:
```
data_IrW2Se
_space_group_name_H-M_alt 'C 1 m 1'
_space_group_IT_number 8
_cell_length_a 9.327
_cell_length_b 2.903
_cell_length_c 4.723
_cell_angle_alpha 90.00
_cell_angle_beta 106.67
_cell_angle_gamma 90.00
loop_
_space_group_symop_operation_xyz
'x,y,z'
'x,-y,z'
'x+1/2,y+1/2,z'
'x+1/2,-y+1/2,z'
loop_
_atom_site_label
_atom_site_type_symbol
_atom_site_fract_x
_atom_site_fract_y
_atom_site_fract_z
Ir1 Ir 0.000 0.000 0.000
W1 W 0.241 0.500 0.121
W2 W 0.494 0.000 0.508
Se1 Se 0.242 0.000 0.656
```

Output
- Calculated volume: 122.5 Å³ per cell
- ΔE to the lowest computed polymorph: 0.0 kJ/mol of atoms

=====

Entry 3:
DFT (GGA-PBEsol) results for a geometry-optimized YIr2Se structure.

Geometry as CIF:
```
data_YIr2Se
_space_group_name_H-M_alt 'P m m m'
_space_group_IT_number 47
_cell_length_a 3.058
_cell_length_b 4.666
_cell_length_c 4.724
_cell_angle_alpha 90.00
_cell_angle_beta 90.00
_cell_angle_gamma 90.00
loop_
_space_group_symop_operation_xyz
'x,y,z'
'-x,-y,-z'
'-x,-y,z'
'x,y,-z'
'x,-y,-z'
'-x,y,z'
'-x,y,-z'
'x,-y,z'
loop_
_atom_site_label
_atom_site_type_symbol
_atom_site_fract_x
_atom_site_fract_y
_atom_site_fract_z
Y1 Y 0.000 0.000 0.000
Ir1 Ir 0.000 0.500 0.500
Ir2 Ir 0.500 0.500 0.000
Se1 Se 0.500 0.000 0.500
```

Output
- Calculated volume: 67.4 Å³ per cell

=====

Number 1: E_form (uncorrected) 0.308 eV per atom. Number 2: E_form (uncorrected) 0.231 eV per atom. Number 3: E_form (uncorrected) -0.309 eV per atom.